## Li2NiRh (GGA-PBEsol)

Data for an optimized crystal structure of Li2NiRh.

Cell lengths 3.4675, 3.4675, 8.0255 Å; angles 90.00, 90.00, 90.00 degrees
With the nearest neighbours (Å) after each atom.
Positions (direct):
Li1 0.0000 0.5000 0.2500  4 Li 2.45, 4 Ni 2.65, 4 Rh 2.65
Li2 0.0000 0.5000 0.7500  4 Li 2.45, 4 Ni 2.65, 4 Rh 2.65
Li3 0.5000 0.0000 0.2500  4 Li 2.45, 4 Ni 2.65, 4 Rh 2.65
Li4 0.5000 0.0000 0.7500  4 Li 2.45, 4 Ni 2.65, 4 Rh 2.65
Ni1 0.0000 0.0000 0.0000  4 Rh 2.45, 8 Li 2.65
Ni2 0.5000 0.5000 0.5000  4 Rh 2.45, 8 Li 2.65
Rh1 0.0000 0.0000 0.5000  4 Ni 2.45, 8 Li 2.65
Rh2 0.5000 0.5000 0.0000  4 Ni 2.45, 8 Li 2.65

Properties
ΔH_f (0 K) = 12 kJ/mol of formula units
N(E_F) = 1.01 states/eV per atom
VASP energy = -4.53 eV per atom
E above lowest polymorph = 0.1209 eV/atom

***

## Li2NiRh (GGA-PBEsol)

Data for an optimized crystal structure of Li2NiRh.

Cell lengths 5.7545, 5.7545, 5.7545 Å; angles 90.00, 90.00, 90.00 degrees
With the nearest neighbours (Å) after each atom.
Positions (direct):
Li1 0.0000 0.0000 0.0000  4 Ni 2.49, 4 Li 2.49
Li2 0.0000 0.5000 0.5000  4 Li 2.49, 4 Ni 2.49
Li3 0.2500 0.2500 0.2500  4 Li 2.49, 4 Rh 2.49
Li4 0.2500 0.7500 0.7500  4 Li 2.49, 4 Rh 2.49
Li5 0.5000 0.0000 0.5000  4 Li 2.49, 4 Ni 2.49
Li6 0.5000 0.5000 0.0000  4 Li 2.49, 4 Ni 2.49
Li7 0.7500 0.2500 0.7500  4 Li 2.49, 4 Rh 2.49
Li8 0.7500 0.7500 0.2500  4 Li 2.49, 4 Rh 2.49
Ni1 0.2500 0.2500 0.7500  4 Li 2.49, 4 Rh 2.49
Ni2 0.2500 0.7500 0.2500  4 Li 2.49, 4 Rh 2.49
Ni3 0.7500 0.2500 0.2500  4 Li 2.49, 4 Rh 2.49
Ni4 0.7500 0.7500 0.7500  4 Li 2.49, 4 Rh 2.49
Rh1 0.0000 0.0000 0.5000  4 Li 2.49, 4 Ni 2.49
Rh2 0.0000 0.5000 0.0000  4 Li 2.49, 4 Ni 2.49
Rh3 0.5000 0.0000 0.0000  4 Li 2.49, 4 Ni 2.49
Rh4 0.5000 0.5000 0.5000  4 Li 2.49, 4 Ni 2.49

Properties
ΔH_f (0 K) = 10 kJ/mol of formula units
N(E_F) = 1.05 states/eV per atom
VASP energy = -4.53 eV per atom
E above lowest polymorph = 0.1161 eV/atom

***

## LiNiRh (GGA-PBEsol)

Data for an optimized crystal structure of LiNiRh.

Cell lengths 5.4921, 5.4921, 5.4921 Å; angles 90.00, 90.00, 90.00 degrees
With the nearest neighbours (Å) after each atom.
Positions (direct):
Li1 0.0000 0.0000 0.0000  4 Ni 2.38
Li2 0.0000 0.5000 0.5000  4 Ni 2.38
Li3 0.5000 0.0000 0.5000  4 Ni 2.38
Li4 0.5000 0.5000 0.0000  4 Ni 2.38
Ni1 0.2500 0.2500 0.7500  4 Li 2.38, 4 Rh 2.38
Ni2 0.2500 0.7500 0.2500  4 Li 2.38, 4 Rh 2.38
Ni3 0.7500 0.2500 0.2500  4 Li 2.38, 4 Rh 2.38
Ni4 0.7500 0.7500 0.7500  4 Li 2.38, 4 Rh 2.38
Rh1 0.0000 0.0000 0.5000  4 Ni 2.38
Rh2 0.0000 0.5000 0.0000  4 Ni 2.38
Rh3 0.5000 0.0000 0.0000  4 Ni 2.38
Rh4 0.5000 0.5000 0.5000  4 Ni 2.38

Properties
ΔH_f (0 K) = 118 kJ/mol of formula units
N(E_F) = 0.87 states/eV per atom
VASP energy = -5.01 eV per atom
E above lowest polymorph = 0.2876 eV/atom

***

## Li2NiRh (GGA-PBEsol)

Data for an optimized crystal structure of Li2NiRh.

Cell lengths 2.6153, 4.2802, 8.4891 Å; angles 90.00, 90.00, 90.00 degrees
With the nearest neighbours (Å) after each atom.
Positions (direct):
Li1 0.0000 0.0000 0.2413  2 Ni 2.43, 6 Li 2.51-2.62, 2 Rh 2.56
Li2 0.0000 0.0000 0.7587  2 Ni 2.43, 6 Li 2.51-2.62, 2 Rh 2.56
Li3 0.5000 0.5000 0.2587  2 Ni 2.43, 6 Li 2.51-2.62, 2 Rh 2.56
Li4 0.5000 0.5000 0.7413  2 Ni 2.43, 6 Li 2.51-2.62, 2 Rh 2.56
Ni1 0.0000 0.5000 0.5000  4 Li 2.43, 4 Rh 2.51, 2 Ni 2.62
Ni2 0.5000 0.0000 0.0000  4 Li 2.43, 4 Rh 2.51, 2 Ni 2.62
Rh1 0.0000 0.5000 0.0000  4 Ni 2.51, 4 Li 2.56, 2 Rh 2.62
Rh2 0.5000 0.0000 0.5000  4 Ni 2.51, 4 Li 2.56, 2 Rh 2.62

Properties
ΔH_f (0 K) = -31 kJ/mol of formula units
N(E_F) = 0.83 states/eV per atom
VASP energy = -4.64 eV per atom
E above lowest polymorph = 0.0098 eV/atom

***

> What is the VASP energy in the fourth record?

-4.64 eV per atom

***

> Which formula does entry 2 have?

Li2NiRh